{"formula": "UTi2Re", "functional": "PBE", "state": "optimized geometry", "lattice": [[3.0654, 0.0000, 0.0000], [0.0000, 3.0654, 0.0000], [0.0000, 0.0000, 7.5506]], "species": ["Re", "U", "Ti", "Ti"], "fractional_positions": [[0.5000, 0.5000, 0.5000], [0.5000, 0.5000, 0.0000], [0.0000, 0.0000, 0.7039], [0.0000, 0.0000, 0.2961]]}

=====

{"formula": "Y6HgOs2", "functional": "PBE", "state": "optimized geometry", "lattice": [[-0.5010, -5.6563, -6.3338], [-3.8059, -2.7777, 7.0825], [-4.0440, 7.2504, -1.8546]], "species": ["Y", "Y", "Y", "Y", "Y", "Y", "Y", "Y", "Y", "Y", "Y", "Y", "Hg", "Hg", "Os", "Os", "Os", "Os"], "fractional_positions": [[0.5382, 0.7216, 0.8165], [0.4618, 0.2784, 0.1835], [0.0949, 0.2784, 0.8165], [0.9051, 0.7216, 0.1835], [0.7974, 0.7560, 0.5535], [0.2026, 0.2440, 0.4465], [0.2026, 0.7560, 0.9586], [0.7974, 0.2440, 0.0414], [0.6862, 0.3560, 0.6698], [0.3138, 0.6440, 0.3302], [0.3138, 0.9835, 0.6698], [0.6862, 0.0165, 0.3302], [0.0000, 0.5000, 0.5000], [0.0000, 0.0000, 0.0000], [0.5000, 0.3812, 0.8812], [0.5000, 0.6188, 0.1188], [0.6701, 0.0000, 0.6701], [0.3299, 0.0000, 0.3299]]}

=====

{"formula": "Ac2Ga4NiRu3", "functional": "PBE", "state": "optimized geometry", "lattice": [[-3.6932, -0.0304, 2.3256], [-1.9701, -2.2785, -3.1585], [2.9252, -8.8093, 4.5302]], "species": ["Ac", "Ac", "Ga", "Ga", "Ga", "Ga", "Ni", "Ru", "Ru", "Ru"], "fractional_positions": [[0.5000, 0.0000, 0.2603], [0.0000, 0.5000, 0.7397], [0.5000, 0.5000, 0.0000], [0.0000, 0.0000, 0.0000], [0.5000, 0.0000, 0.6177], [0.0000, 0.5000, 0.3823], [0.5000, 0.5000, 0.5000], [0.0000, 0.0000, 0.5000], [0.5000, 0.0000, 0.8707], [0.0000, 0.5000, 0.1293]]}

=====

{"formula": "PuCdGa2Au4", "functional": "PBE", "state": "optimized geometry", "lattice": [[-3.0750, 0.0923, -3.3034], [-3.6341, -2.6683, 0.2240], [-6.8685, 5.8277, 3.4721]], "species": ["Pu", "Cd", "Ga", "Ga", "Au", "Au", "Au", "Au"], "fractional_positions": [[0.0000, 0.0000, 0.0000], [0.5000, 0.5000, 0.5000], [0.7459, 0.7459, 0.7623], [0.2541, 0.2541, 0.2377], [0.3928, 0.3928, 0.8217], [0.8798, 0.8798, 0.3606], [0.1202, 0.1202, 0.6394], [0.6072, 0.6072, 0.1783]]}

=====

Computed values of energy of formation (unit: kJ/mol of atoms) for the preceding records, in sequence: -5, -27, -40, -26.
Computed values of electronic total energy (unit: eV/atom) for the preceding records, in sequence: -9.929, -7.120, -5.806, -4.567.